No. 1
First-principles (GGA-PBE) data for an optimized crystal structure of Li2ScCu, as listed in Alexandria via LeMat-Bulk.

The formation energy comes out at 0.172 eV/atom. For the offset from the most stable computed form, the calculation gives 77 kJ/mol of formula units. For the volume, the calculation gives 17.6 Å³/atom. As for the space group: R-3m, No. 166. The value obtained for the electronic total energy is -0.249 Ry per atom.

Cell lengths 9.4742, 9.4742, 9.4742 Å; angles 17.94, 17.94, 17.94 degrees
Closest atoms and distances in Å follow each position.
Atoms (fractional coordinates):
Cu (0.7500, 0.7500, 0.7500)  6 Li 2.60
Li (0.0131, 0.0131, 0.0131)  3 Cu 2.60
Li (0.4869, 0.4869, 0.4869)  3 Cu 2.60
Sc (0.2500, 0.2500, 0.2500)  6 Sc 2.95, 6 Li 3.19

---

No. 2
First-principles (GGA-PBE) data for an optimized crystal structure of LiSc2Cu, as listed in Alexandria via LeMat-Bulk.

The formation energy comes out at -0.045 eV/atom. For the volume, the calculation gives 18.4 Å³/atom. As for the space group: P4/mmm, No. 123. The value obtained for the electronic total energy is -0.346 Ry per atom.

Cell lengths 3.3608, 4.6850, 4.6850 Å; angles 90.00, 90.00, 90.00 degrees
Closest atoms and distances in Å follow each position.
Atoms (fractional coordinates):
Sc (0.0000, 0.0000, 0.5000)  4 Li 2.88, 4 Cu 2.88
Sc (0.0000, 0.5000, 0.0000)  4 Li 2.88, 4 Cu 2.88
Cu (0.5000, 0.0000, 0.0000)  8 Sc 2.88
Li (0.5000, 0.5000, 0.5000)  8 Sc 2.88

---

No. 3
First-principles (GGA-PBE) data for an optimized crystal structure of Li2ScCu, as listed in Alexandria via LeMat-Bulk.

The formation energy comes out at 0.046 eV/atom. For the offset from the most stable computed form, the calculation gives 28 kJ/mol of formula units. For the volume, the calculation gives 16.8 Å³/atom. As for the space group: Cm, No. 8. The value obtained for the electronic total energy is -0.259 Ry per atom.

Cell lengths 4.5568, 4.5568, 4.5030 Å; angles 61.35, 61.35, 59.62 degrees
Closest atoms and distances in Å follow each position.
Atoms (fractional coordinates):
Cu (0.2483, 0.2483, 0.2479)  4 Li 2.74-2.82, 4 Sc 2.78-2.81
Li (0.0005, 0.0005, 0.0000)  4 Cu 2.74-2.82, 4 Li 2.74-2.83
Li (0.7515, 0.7515, 0.7531)  4 Li 2.74-2.83, 4 Sc 2.79-2.80
Sc (0.4997, 0.4997, 0.4990)  4 Cu 2.78-2.81, 4 Li 2.79-2.80

---

No. 4
First-principles (GGA-PBE) data for an optimized crystal structure of LiSc2Cu, as listed in Alexandria via LeMat-Bulk.

The formation energy comes out at 0.245 eV/atom. For the volume, the calculation gives 20.1 Å³/atom. As for the space group: I-42d, No. 122. The value obtained for the electronic total energy is -0.325 Ry per atom.

Cell lengths 7.4611, 7.4611, 6.0125 Å; angles 51.65, 51.65, 90.00 degrees
Closest atoms and distances in Å follow each position.
Atoms (fractional coordinates):
Sc (0.6530, 0.1250, 0.2500)  2 Cu 2.60, 2 Li 2.88
Sc (0.0970, 0.6250, 0.2500)  2 Cu 2.60, 2 Li 2.88
Sc (0.3750, 0.3470, 0.7500)  2 Cu 2.60, 2 Li 2.88
Sc (0.8750, 0.9030, 0.7500)  2 Cu 2.60, 2 Li 2.88
Cu (0.0000, 0.0000, 0.0000)  4 Sc 2.60, 2 Li 2.88
Cu (0.7500, 0.2500, 0.5000)  4 Sc 2.60, 2 Li 2.88
Li (0.5000, 0.5000, 0.0000)  4 Sc 2.88, 2 Cu 2.88
Li (0.2500, 0.7500, 0.5000)  4 Sc 2.88, 2 Cu 2.88

---

No. 5
First-principles (GGA-PBE) data for an optimized crystal structure of LiScCu4, as listed in Alexandria via LeMat-Bulk.

The formation energy comes out at -0.168 eV/atom. For the volume, the calculation gives 14.3 Å³/atom. As for the space group: F-43m, No. 216. The value obtained for the electronic total energy is -0.314 Ry per atom.

Cell lengths 4.9486, 4.9486, 4.9486 Å; angles 60.00, 60.00, 60.00 degrees
Closest atoms and distances in Å follow each position.
Atoms (fractional coordinates):
Cu (0.1268, 0.6244, 0.6244)  6 Cu 2.46-2.49
Cu (0.6244, 0.6244, 0.6244)  6 Cu 2.46-2.49
Cu (0.6244, 0.1268, 0.6244)  6 Cu 2.46-2.49
Cu (0.6244, 0.6244, 0.1268)  6 Cu 2.46-2.49
Li (0.2500, 0.2500, 0.2500)  12 Cu 2.90, 4 Sc 3.03
Sc (0.0000, 0.0000, 0.0000)  12 Cu 2.90, 4 Li 3.03

---

No. 6
First-principles (GGA-PBE) data for an optimized crystal structure of Li2ScCu, as listed in Alexandria via LeMat-Bulk.

The formation energy comes out at 0.065 eV/atom. For the offset from the most stable computed form, the calculation gives 35 kJ/mol of formula units. For the volume, the calculation gives 17.7 Å³/atom. As for the space group: P4/mmm, No. 123. The value obtained for the electronic total energy is -0.257 Ry per atom.

Cell lengths 4.8602, 3.8133, 3.8133 Å; angles 90.00, 90.00, 90.00 degrees
Closest atoms and distances in Å follow each position.
Atoms (fractional coordinates):
Cu (0.5000, 0.0000, 0.5000)  4 Sc 2.70
Li (0.0000, 0.0000, 0.0000)  4 Li 2.70
Li (0.0000, 0.5000, 0.5000)  4 Li 2.70
Sc (0.5000, 0.5000, 0.0000)  4 Cu 2.70

---

- Which value of electronic total energy does entry 1 give?
  -0.249 Ry per atom

---

- Which value of electronic total energy does entry 4 give?
  -0.325 Ry per atom